# 1
ZnReSi2 | PBE | relaxed

a b c (Å): 4.939 4.939 3.016
angles (deg): 103.74 103.74 115.11
Sites, in units of the cell vectors:
Zn  0.000  0.000  0.000
Re  0.500  0.500  0.000
Si  0.000  0.500  0.000
Si  0.500  0.000  0.000

Results
Formation energy from raw total energies ... 327 meV/atom
DFT total energy ... -5.8154 eV per atom

# 2
Nb3InH2 | PBE | relaxed

a b c (Å): 7.215 7.215 7.803
angles (deg): 110.51 110.51 27.29
Sites, in units of the cell vectors:
Nb  0.048  0.048  0.328
Nb  0.287  0.287  0.661
Nb  0.383  0.383  0.329
Nb  0.617  0.617  0.671
Nb  0.713  0.713  0.339
Nb  0.952  0.952  0.672
In  0.152  0.152  0.004
In  0.848  0.848  0.996
H  0.138  0.138  0.580
H  0.435  0.435  0.792
H  0.565  0.565  0.208
H  0.862  0.862  0.420

Results
DFT total energy ... -6.6820 eV per atom